## NpAsHRh (GGA-PBE)

Data for crystalline NpAsHRh at its relaxed geometry.

Calculated values
Total DFT energy (no corrections) in eV/atom: -7.63

Geometry as extended XYZ:
```
8
Lattice="4.024 0.000 0.000 0.000 4.024 0.000 0.000 0.000 7.177" Properties=species:S:1:pos:R:3 pbc="T T T"
Np 0.000 2.012 6.118
Np 2.012 0.000 1.059
As 2.012 0.000 5.130
As 0.000 2.012 2.047
H 2.012 2.012 0.000
H 0.000 0.000 0.000
Rh 0.000 0.000 3.588
Rh 2.012 2.012 3.588
```

***

## NpAsH2Ru (GGA-PBE)

Data for crystalline NpAsH2Ru at its relaxed geometry.

Calculated values
Total DFT energy (no corrections) in eV/atom: -7.08

Geometry as extended XYZ:
```
10
Lattice="-3.782 -0.692 1.113 3.447 -0.236 4.369 -0.773 5.697 0.917" Properties=species:S:1:pos:R:3 pbc="T T T"
Np -1.816 3.681 3.316
Np 0.708 1.087 3.083
As 0.736 3.780 4.852
As -1.844 0.988 1.547
H -0.208 5.111 2.472
H -0.899 -0.343 3.927
H 0.071 3.051 2.140
H -1.179 1.717 4.259
Ru 0.000 0.000 0.000
Ru -0.387 2.848 0.459
```

***

## PaAsH2O6 (GGA-PBE)

Data for crystalline PaAsH2O6 at its relaxed geometry.

Calculated values
Total DFT energy (no corrections) in eV/atom: -6.95

Geometry as extended XYZ:
```
10
Lattice="4.978 -0.279 0.161 -2.730 4.629 -0.173 -2.221 -1.470 4.810" Properties=species:S:1:pos:R:3 pbc="T T T"
Pa 2.535 1.320 2.385
As 0.059 2.900 4.704
H 0.584 2.800 0.782
H -0.492 0.119 3.826
O -1.340 2.851 3.530
O 1.432 0.069 1.078
O 1.524 3.013 1.009
O -0.806 1.329 0.914
O 0.898 1.591 3.695
O -1.431 -0.093 3.600
```

***

## PaAsHO6 (GGA-PBE)

Data for crystalline PaAsHO6 at its relaxed geometry.

Calculated values
Total DFT energy (no corrections) in eV/atom: -6.53

Geometry as extended XYZ:
```
18
Lattice="-1.042 4.220 -3.181 2.425 -4.364 -2.023 -7.434 -3.256 -1.885" Properties=species:S:1:pos:R:3 pbc="T T T"
Pa -0.589 -2.317 -2.880
Pa -5.462 -1.083 -4.209
As -1.745 0.545 -3.267
As -4.306 -3.945 -3.823
H 0.000 0.000 0.000
H -3.717 -1.628 -0.943
O -0.130 -0.303 -3.657
O -1.152 2.185 -3.926
O -2.695 -4.827 -4.142
O -4.900 -5.585 -3.163
O -2.370 -1.057 -2.546
O -2.241 0.068 -5.000
O -4.832 -4.349 -5.566
O -3.356 1.427 -2.947
O -3.811 -3.468 -2.090
O -1.220 0.949 -1.524
O -3.681 -2.343 -4.544
O -5.921 -3.097 -3.433
```

***

## AsH2Pb2O6 (GGA-PBE)

Data for crystalline AsH2Pb2O6 at its relaxed geometry.

Calculated values
Total DFT energy (no corrections) in eV/atom: -5.15

Geometry as extended XYZ:
```
11
Lattice="5.138 0.000 0.000 2.569 4.450 0.000 2.569 1.483 5.067" Properties=species:S:1:pos:R:3 pbc="T T T"
As 0.000 0.000 0.000
H 5.138 2.967 4.032
H 5.138 2.967 1.035
Pb 7.707 4.450 3.380
Pb 2.569 1.483 1.687
O 6.411 3.702 1.142
O 3.865 3.702 1.142
O 5.138 1.496 1.142
O 5.138 4.437 3.925
O 6.411 2.231 3.925
O 3.865 2.231 3.925
```

***

## AsHPbO4 (GGA-PBE)

Data for crystalline AsHPbO4 at its relaxed geometry.

Calculated values
Total DFT energy (no corrections) in eV/atom: -5.76

Geometry as extended XYZ:
```
14
Lattice="-1.460 3.378 5.886 -3.326 -3.497 1.182 3.901 -3.430 2.936" Properties=species:S:1:pos:R:3 pbc="T T T"
As -1.839 0.012 6.029
As 0.967 -3.682 4.047
H -2.282 -0.004 3.716
H -0.264 -1.873 4.916
Pb -2.695 -3.587 2.993
Pb -1.632 -3.248 8.042
O -0.680 0.966 6.862
O -3.438 0.181 6.642
O -0.237 -4.427 3.069
O 2.515 -3.631 3.309
O -1.869 0.676 4.390
O -1.348 -1.626 5.943
O 1.049 -4.374 5.613
O 0.491 -1.987 4.207
```

***

## AsH2PbO4 (GGA-PBE)

Data for crystalline AsH2PbO4 at its relaxed geometry.

Calculated values
Total DFT energy (no corrections) in eV/atom: -5.24

Geometry as extended XYZ:
```
8
Lattice="-1.110 -1.239 3.715 1.906 -4.931 1.155 3.868 0.883 3.680" Properties=species:S:1:pos:R:3 pbc="T T T"
As 2.332 -2.644 4.275
H 1.821 -1.589 2.244
H 2.843 -3.698 6.307
Pb 0.000 0.000 0.000
O 1.850 -1.194 3.418
O 3.409 -3.429 3.138
O 0.780 -3.264 4.802
O 3.287 -2.689 5.743
```

***

## AsHPb2O6 (GGA-PBE)

Data for crystalline AsHPb2O6 at its relaxed geometry.

Calculated values
Total DFT energy (no corrections) in eV/atom: -5.58

Geometry as extended XYZ:
```
10
Lattice="5.653 0.473 -0.506 0.449 5.962 -0.825 -3.481 -3.921 5.455" Properties=species:S:1:pos:R:3 pbc="T T T"
As 5.366 0.467 -0.422
H 4.475 3.925 0.286
Pb 2.116 -0.817 2.878
Pb -0.592 2.006 3.118
O 1.016 1.159 4.357
O 3.997 3.436 1.010
O -2.477 -2.646 5.122
O 0.740 -2.583 3.951
O -0.216 0.209 1.827
O -2.194 0.778 4.094
```

***

## ZnAsHPbO5 (GGA-PBE)

Data for crystalline ZnAsHPbO5 at its relaxed geometry.

Calculated values
Total DFT energy (no corrections) in eV/atom: -5.50

Geometry as extended XYZ:
```
36
Lattice="-1.698 3.063 5.125 -0.156 -6.775 3.998 9.100 1.161 2.321" Properties=species:S:1:pos:R:3 pbc="T T T"
Zn 4.289 -0.206 3.225
Zn 3.125 0.880 5.948
Zn 7.516 -1.358 9.141
Zn -0.438 -4.418 4.575
As 5.697 1.461 8.412
As 0.833 0.809 3.431
As 6.062 -5.045 5.145
As 1.901 -2.327 5.901
H 3.754 2.127 3.873
H 4.355 -2.706 3.202
H 8.118 -0.818 6.796
H -1.734 -3.704 9.016
Pb 1.455 -2.203 2.091
Pb 6.586 1.746 5.190
Pb 1.203 -2.588 9.171
Pb 5.249 -2.057 6.435
O 2.965 -1.078 5.324
O 3.538 3.396 6.599
O -0.332 -4.822 6.593
O 8.322 -2.598 4.372
O -0.110 -0.624 3.593
O 6.813 2.583 7.729
O 2.791 -3.193 7.095
O 4.999 -3.867 4.471
O 1.259 1.512 4.965
O 6.149 -0.828 4.225
O 1.468 -3.316 4.535
O 5.617 -2.470 9.163
O 0.528 -1.673 6.748
O 6.670 -4.319 6.606
O 2.210 0.337 2.476
O 5.085 0.554 7.059
O 4.216 1.402 4.369
O 3.934 -2.056 2.583
O 7.621 -1.586 7.181
O -1.278 -2.863 8.755
```

***

## PmAsH2O4 (GGA-PBE)

Data for crystalline PmAsH2O4 at its relaxed geometry.

Calculated values
Total DFT energy (no corrections) in eV/atom: -6.04

Geometry as extended XYZ:
```
8
Lattice="-3.216 2.763 2.321 -3.918 -1.989 1.971 0.209 0.447 4.791" Properties=species:S:1:pos:R:3 pbc="T T T"
Pm 0.000 0.000 0.000
As -3.463 0.611 4.541
H -1.755 0.100 2.482
H -5.171 1.121 6.600
O -1.823 1.014 3.305
O -6.384 1.308 6.701
O -1.681 -0.759 1.603
O -3.964 0.880 6.556
```

***

## PmAs2HO6 (GGA-PBE)

Data for crystalline PmAs2HO6 at its relaxed geometry.

Calculated values
Total DFT energy (no corrections) in eV/atom: -6.34

Geometry as extended XYZ:
```
20
Lattice="-3.882 3.271 4.618 2.392 -3.158 6.249 4.102 6.046 1.167" Properties=species:S:1:pos:R:3 pbc="T T T"
Pm 1.815 -0.218 6.232
Pm 0.796 6.378 5.802
As 4.625 2.311 6.952
As -0.258 1.215 3.324
As -2.013 3.849 5.082
As 2.869 4.944 8.710
H 2.842 5.308 3.181
H -0.231 0.852 8.853
O 3.078 4.720 2.123
O 2.618 5.955 4.205
O -0.466 1.439 9.911
O -0.006 0.204 7.829
O 3.122 1.485 6.831
O 0.957 0.490 4.300
O -0.510 4.674 5.203
O 1.654 5.669 7.734
O 2.099 4.650 10.312
O -1.610 2.168 4.570
O 0.512 1.510 1.722
O 4.222 3.991 7.464
```

***

## PuAsH2O6 (GGA-PBE)

Data for crystalline PuAsH2O6 at its relaxed geometry.

Calculated values
Total DFT energy (no corrections) in eV/atom: -7.13

Geometry as extended XYZ:
```
10
Lattice="-5.266 -0.117 -0.549 -2.124 -2.118 -3.879 -2.978 -4.953 0.803" Properties=species:S:1:pos:R:3 pbc="T T T"
Pu -2.490 -0.962 -1.359
As -7.674 -4.555 -3.172
H -4.793 -2.716 -1.585
H -3.165 -4.160 -0.329
O -4.512 -2.113 -0.857
O -3.863 -3.541 -3.378
O -7.076 -2.950 -2.519
O -6.219 -5.453 -2.416
O -6.149 -4.043 0.055
O -3.446 -4.763 -1.057
```

***

## RbAs4H3O12 (GGA-PBE)

Data for crystalline RbAs4H3O12 at its relaxed geometry.

Calculated values
Total DFT energy (no corrections) in eV/atom: -5.67

Geometry as extended XYZ:
```
20
Lattice="5.276 0.006 -0.011 -0.656 7.177 0.050 -0.639 -3.549 7.088" Properties=species:S:1:pos:R:3 pbc="T T T"
Rb -0.623 -3.507 7.081
As 3.833 3.422 2.257
As 0.108 0.173 4.929
As 1.291 2.924 4.019
As 2.665 0.678 3.136
H 2.063 -2.146 4.919
H 1.904 5.769 2.204
H 4.831 3.668 0.127
O 4.199 4.252 0.802
O -0.287 -0.607 6.362
O 3.689 1.733 1.891
O 0.279 1.886 5.239
O 2.319 4.088 2.784
O 1.644 -0.452 4.359
O 1.133 1.634 2.710
O 2.848 2.002 4.422
O -0.239 3.855 3.453
O 4.211 -0.220 3.670
O 1.509 4.114 5.339
O 2.444 -0.488 1.795
```

***

## RbAs2H2O6 (GGA-PBE)

Data for crystalline RbAs2H2O6 at its relaxed geometry.

Calculated values
Total DFT energy (no corrections) in eV/atom: -5.43

Geometry as extended XYZ:
```
11
Lattice="-0.622 -2.844 -4.778 0.553 -6.576 -1.690 -6.034 0.580 2.247" Properties=species:S:1:pos:R:3 pbc="T T T"
Rb -3.328 -1.132 -1.265
As -6.005 -4.593 -2.378
As -0.098 -4.248 -1.842
H -4.368 -6.272 -0.328
H -1.735 -2.568 -3.892
O -5.135 -4.866 -0.735
O -0.818 -2.743 -0.939
O -5.001 -3.377 -3.229
O -5.285 -6.097 -3.281
O -1.101 -5.463 -0.991
O -0.968 -3.975 -3.485
```

***

## RbAs2HO6 (GGA-PBE)

Data for crystalline RbAs2HO6 at its relaxed geometry.

Calculated values
Total DFT energy (no corrections) in eV/atom: -5.62

Geometry as extended XYZ:
```
20
Lattice="4.854 -0.014 -0.015 1.531 8.544 -0.812 1.531 -1.128 8.508" Properties=species:S:1:pos:R:3 pbc="T T T"
Rb 2.745 7.140 0.534
Rb 5.172 0.262 7.148
As 4.118 5.852 4.629
As 1.372 3.000 1.670
As 3.798 1.550 3.052
As 6.545 4.402 6.012
H 2.745 2.196 5.298
H 5.172 5.206 2.383
O 4.248 7.173 5.619
O 1.241 2.060 0.312
O 3.668 0.228 2.062
O 6.675 5.342 7.369
O 4.502 6.017 2.986
O 5.841 4.634 1.550
O 3.414 1.385 4.696
O 2.075 2.768 6.131
O 2.447 5.185 4.582
O 3.043 3.022 2.338
O 5.469 2.217 3.099
O 4.874 4.380 5.344
```

***

## RbAsH2O4 (GGA-PBE)

Data for crystalline RbAsH2O4 at its relaxed geometry.

Calculated values
Total DFT energy (no corrections) in eV/atom: -5.26

Geometry as extended XYZ:
```
8
Lattice="4.158 0.000 0.000 2.079 5.182 0.016 2.079 0.440 5.163" Properties=species:S:1:pos:R:3 pbc="T T T"
Rb 0.000 0.000 0.000
As 4.158 2.811 2.590
H 2.079 2.019 1.860
H 6.237 3.604 3.319
O 3.047 1.480 2.447
O 3.047 4.142 2.732
O 5.269 2.560 1.275
O 5.269 3.062 3.904
```

***

## ReAsHO2 (GGA-PBE)

Data for crystalline ReAsHO2 at its relaxed geometry.

Calculated values
Total DFT energy (no corrections) in eV/atom: -5.24

Geometry as extended XYZ:
```
5
Lattice="-1.087 3.355 0.353 -1.065 0.212 -5.292 -3.301 -1.135 0.619" Properties=species:S:1:pos:R:3 pbc="T T T"
Re -0.533 0.106 -2.646
As 0.000 0.000 0.000
O -1.650 -0.567 0.309
O -0.544 1.678 0.177
H -2.727 1.216 -2.160
```

***

## AsH2RhO (GGA-PBE)

Data for crystalline AsH2RhO at its relaxed geometry.

Calculated values
Total DFT energy (no corrections) in eV/atom: -4.21

Geometry as extended XYZ:
```
5
Lattice="-1.086 2.823 -1.534 -0.153 -2.146 -3.841 -3.211 -0.894 0.627" Properties=species:S:1:pos:R:3 pbc="T T T"
H -1.605 -0.447 0.314
H -0.543 1.411 -0.767
As 0.000 0.000 0.000
Rh -2.224 -0.109 -2.374
O -0.076 -1.073 -1.920
```

***

## As2HRhO (GGA-PBE)

Data for crystalline As2HRhO at its relaxed geometry.

Calculated values
Total DFT energy (no corrections) in eV/atom: -4.25

Geometry as extended XYZ:
```
5
Lattice="-2.486 2.089 2.853 0.845 -2.808 2.793 3.419 2.310 1.287" Properties=species:S:1:pos:R:3 pbc="T T T"
H 0.889 0.796 3.466
As 1.709 1.155 0.644
As -1.243 1.045 1.426
Rh 0.423 -1.404 1.396
O 0.000 0.000 0.000
```

***

## ScAsH2O6 (GGA-PBE)

Data for crystalline ScAsH2O6 at its relaxed geometry.

Calculated values
Total DFT energy (no corrections) in eV/atom: -6.13

Geometry as extended XYZ:
```
20
Lattice="5.497 0.469 0.487 2.278 7.397 -0.741 2.278 -1.015 7.364" Properties=species:S:1:pos:R:3 pbc="T T T"
Sc 3.652 6.691 0.173
Sc 6.400 0.160 6.936
As 3.652 0.388 6.247
As 6.400 6.463 0.863
H 5.567 4.225 4.286
H 7.234 2.959 2.972
H 4.486 2.626 2.824
H 2.818 3.892 4.138
O 5.213 6.174 5.480
O 2.091 1.369 0.494
O 4.840 0.677 1.630
O 7.961 5.482 6.616
O 4.966 6.297 1.766
O 2.338 5.085 0.509
O 5.087 0.554 5.343
O 7.714 1.766 6.601
O 3.652 4.131 3.662
O 3.652 3.111 2.603
O 6.401 2.720 3.448
O 6.400 3.740 4.507
```